Entry 1:
This record from Alexandria describes a relaxed structure of Ta2Zn2Ru. The functional is PBEsol.

```
5
Lattice="-1.517 -0.889 3.300 0.968 -3.574 -0.518 5.377 3.234 1.225" Properties=species:S:1:pos:R:3 pbc="T T T"
Ru 0.000 0.000 0.000
Ta 3.035 -1.286 1.049
Ta 1.793 0.057 2.958
Zn 0.669 -2.046 1.874
Zn 4.159 0.817 2.132
```

## Properties
* SG: I4/mmm, No. 139
* E_form: 0.59 eV/atom

=====

Entry 2:
This record from Alexandria describes a relaxed structure of Ta2ZnRu. The functional is PBEsol.

```
4
Lattice="-2.201 -2.043 -0.648 2.457 -3.244 1.883 -2.087 3.484 3.387" Properties=species:S:1:pos:R:3 pbc="T T T"
Ru 0.236 -1.196 2.971
Ta -1.784 -1.823 4.527
Ta -2.062 -0.609 1.641
Zn 0.076 -2.621 0.724
```

## Properties
* SG: Imm2, No. 44
* E_form: -0.07 eV/atom

=====

Entry 3:
This record from Alexandria describes a relaxed structure of ZrTaRu. The functional is PBEsol.

```
3
Lattice="-1.285 -1.235 2.629 -2.617 -0.755 -1.634 3.984 -3.567 -1.646" Properties=species:S:1:pos:R:3 pbc="T T T"
Ru 0.055 -5.498 -0.636
Zr -1.300 -2.457 0.129
Ta 1.407 -3.158 -0.795
```

## Properties
* SG: I4mm, No. 107
* distance to the lowest polymorph of the same formula: 0 meV per atom
* E_form: -0.35 eV/atom